First-principles (PBE+U) data for crystalline MnNiPtO4 at its relaxed geometry, as listed in Alexandria.

Density (g/cm3): 6.4
DFT total energy (eV/cell): -81.97
Fermi-level density of states (states/eV/f.u.): 4.2
Volume (Å³/cell): 192

Cell: 5.8933 7.1369 5.5379 Å, 112.83 90.00 114.39°
Fractional coordinates of all 14 atoms:
O 0.2124 0.4247 0.6885
O 0.2124 0.4247 0.2363
O 0.6868 0.9516 0.2258
O 0.7876 0.5753 0.3115
O 0.7352 0.0484 0.7742
O 0.7876 0.5753 0.7637
O 0.2648 0.9516 0.2258
O 0.3132 0.0484 0.7742
Pt 0.0000 0.5000 0.5000
Pt 0.5000 0.5000 0.5000
Ni 0.5000 0.0000 0.0000
Ni 0.5000 0.0000 0.5000
Mn 0.0982 0.1963 0.8482
Mn 0.9018 0.8037 0.1518